No. 1
Below is CsTh2Te6 at its PBEsol-relaxed geometry, with properties calculated at the meta-GGA SCAN level.

POSCAR file:
```
CsTh2Te6
1.0
6.1086 0.0000 0.0000
0.0000 2.1944 12.4817
0.0000 -2.1944 12.4817
Cs Th Te
1 2 6
direct
0.0000 0.0000 0.0000
0.0000 0.1856 0.1856
0.5000 0.8201 0.8201
0.0000 0.7772 0.7772
0.2503 0.6155 0.6155
0.2521 0.3901 0.3901
0.5000 0.2287 0.2287
0.7479 0.3901 0.3901
0.7497 0.6155 0.6155
```

Values from the calculation:
density: 6.76 g/cm³
formation energy without anion corrections: -10.94 eV/f.u.

No. 2
Below is TaRePb3 at its PBEsol-relaxed geometry, with properties calculated at the meta-GGA SCAN level.

POSCAR file:
```
TaRePb3
1.0
5.2237 0.0000 0.0000
0.0000 5.2237 0.0000
0.0000 0.0000 5.2237
Ta Re Pb
1 1 3
direct
0.0000 0.0000 0.0000
0.5000 0.5000 0.5000
0.0000 0.5000 0.5000
0.5000 0.0000 0.5000
0.5000 0.5000 0.0000
```

Values from the calculation:
density: 11.52 g/cm³
energy of formation from the pure elements: 1.57 eV per atom

No. 3
Below is Sr2TlBr5 at its PBEsol-relaxed geometry, with properties calculated at the meta-GGA SCAN level.

POSCAR file:
```
Sr2TlBr5
1.0
9.2055 0.0000 0.0000
0.0000 8.2003 0.0000
-0.0217 0.0000 13.1643
Sr Tl Br
8 4 20
direct
0.0013 0.0259 0.1784
0.0013 0.4741 0.6784
0.2506 0.0737 0.4934
0.2506 0.4263 0.9934
0.7494 0.5737 0.0066
0.7494 0.9263 0.5066
0.9987 0.5259 0.3216
0.9987 0.9741 0.8216
0.4930 0.5339 0.3282
0.4930 0.9661 0.8282
0.5070 0.0339 0.1718
0.5070 0.4661 0.6718
0.0414 0.6630 0.0991
0.0414 0.8370 0.5991
0.2212 0.6682 0.8162
0.2212 0.8318 0.3162
0.2223 0.0429 0.9978
0.2223 0.4571 0.4978
0.2320 0.1927 0.7184
0.2320 0.3073 0.2184
0.4613 0.6663 0.0942
0.4613 0.8337 0.5942
0.5387 0.1663 0.4058
0.5387 0.3337 0.9058
0.7680 0.6927 0.7816
0.7680 0.8073 0.2816
0.7777 0.5429 0.5022
0.7777 0.9571 0.0022
0.7788 0.1682 0.6838
0.7788 0.3318 0.1838
0.9586 0.1630 0.4009
0.9586 0.3370 0.9009
```

Values from the calculation:
density: 5.21 g/cm³
formation energy without anion corrections: -16.12 eV/f.u.

No. 4
Below is CdAu at its PBEsol-relaxed geometry, with properties calculated at the meta-GGA SCAN level.

POSCAR file:
```
CdAu
1.0
3.5529 0.0000 0.0000
0.0000 3.5529 0.0000
0.0000 0.0000 5.8603
Cd Au
2 2
direct
0.2500 0.2500 0.1404
0.7500 0.7500 0.8596
0.2500 0.2500 0.6320
0.7500 0.7500 0.3680
```

Values from the calculation:
density: 13.89 g/cm³
energy of formation from the pure elements: -0.16 eV per atom

No. 5
Below is NiPdNF2 at its PBEsol-relaxed geometry, with properties calculated at the meta-GGA SCAN level.

POSCAR file:
```
NiPdNF2
1.0
3.7982 0.0000 0.0000
0.0000 3.7982 0.0000
0.0000 0.0000 3.6724
Ni Pd N F
1 1 1 2
direct
0.0000 0.0000 0.0000
0.5000 0.5000 0.5000
0.0000 0.0000 0.5000
0.0000 0.5000 0.0000
0.5000 0.0000 0.0000
```

Values from the calculation:
density: 6.81 g/cm³
formation energy without anion corrections: -0.86 eV/f.u.

No. 6
Below is MnSnAsSe2 at its PBEsol-relaxed geometry, with properties calculated at the meta-GGA SCAN level.

POSCAR file:
```
MnSnAsSe2
1.0
4.8942 0.0000 0.0000
0.0000 4.8942 0.0000
0.0000 0.0000 4.5524
Mn Sn As Se
1 1 1 2
direct
0.0000 0.0000 0.0000
0.5000 0.5000 0.5000
0.0000 0.0000 0.5000
0.0000 0.5000 0.0000
0.5000 0.0000 0.0000
```

Values from the calculation:
density: 6.19 g/cm³
formation energy without anion corrections: 0.16 eV/f.u.